VHgPb2O: optimized geometry, PBE+U.

## Properties
symmetry	No. 123
energy relative to the lowest polymorph listed for this composition	572	meV/atom

a = 5.7119 Å, b = 5.7119 Å, c = 5.1542 Å
α = 90.00°, β = 90.00°, γ = 90.00°
Fractional coordinates of all 5 atoms:
V: 0.0000 0.0000 0.0000
Hg: 0.0000 0.0000 0.5000
Pb: 0.0000 0.5000 0.5000
Pb: 0.5000 0.0000 0.5000
O: 0.5000 0.5000 0.0000